1.
Computed, not measured: an optimized crystal structure of NbH3Pd at the PBE-GGA level of DFT.

Geometry as POSCAR:
```
NbH3Pd
1.0
-3.112 -0.236 1.570
-0.352 -3.266 -1.190
1.548 -1.218 2.886
H Nb Pd
3 1 1
Cartesian
-0.176 -1.633 -0.595
0.774 -0.609 1.443
-1.556 -0.118 0.785
-0.958 -2.360 1.633
0.000 0.000 0.000
```

Properties
Electronic total energy ... -4.954 eV per atom
Magnetic moment ... 0.00 μB per formula unit
Mass density ... 7876 kg/m3
Space-group type ... Pm-3m, No. 221

***

2.
Computed, not measured: an optimized crystal structure of NaHfBi2 at the PBE-GGA level of DFT.

Geometry as POSCAR:
```
NaHfBi2
1.0
-5.019 1.919 3.939
-4.330 -3.088 -4.013
-3.898 -7.059 4.107
Na Hf Bi
2 2 4
Cartesian
-4.675 -0.585 -0.037
-6.451 -5.366 0.029
0.000 0.000 0.000
-6.796 -2.862 4.005
-5.000 -0.819 3.260
-3.961 -3.588 -1.261
-6.130 -5.519 3.330
-11.403 -6.531 2.739
```

Properties
ΔH_f (0 K) ... 268 meV/atom
Energy above the lowest structure with this stoichiometry ... 448.0 meV/atom
Magnetic moment ... 0.00 μB per formula unit
Mass density ... 5998 kg/m3
Space-group type ... I-42d, No. 122